<a>
# Cu2Ag3 GGA-PBE relaxed
# Crystal system: monoclinic
data_Cu2Ag3
_cell_length_a 14.689
_cell_length_b 3.778
_cell_length_c 5.727
_cell_angle_alpha 90.00
_cell_angle_beta 101.17
_cell_angle_gamma 90.00
_symmetry_space_group_name_H-M 'C 1 2/m 1'
_symmetry_Int_Tables_number 12
_symmetry_space_group_name_Hall '-C 2y'
loop_
_atom_site_label
_atom_site_type_symbol
_atom_site_fract_x
_atom_site_fract_y
_atom_site_fract_z
_atom_site_occupancy
Cu1 Cu 0.000 0.000 0.224 1
Cu2 Cu 0.088 0.500 0.044 1
Ag1 Ag 0.093 0.500 0.547 1
Ag2 Ag 0.194 0.000 0.339 1
Ag3 Ag 0.194 0.000 0.853 1

<b>
# Cu2Ag3 GGA-PBE relaxed
# Crystal system: trigonal
data_Cu2Ag3
_cell_length_a 2.8545
_cell_length_b 2.8545
_cell_length_c 66.6840
_cell_angle_alpha 90.00
_cell_angle_beta 90.00
_cell_angle_gamma 120.00
_symmetry_space_group_name_H-M 'R -3 m'
_symmetry_Int_Tables_number 166
_symmetry_space_group_name_Hall '-R 3 2"'
loop_
_atom_site_label
_atom_site_type_symbol
_atom_site_fract_x
_atom_site_fract_y
_atom_site_fract_z
_atom_site_occupancy
Cu1 Cu 0.0000 0.0000 0.0504 1
Cu2 Cu 0.0000 0.0000 0.1525 1
Ag1 Ag 0.0000 0.0000 0.2506 1
Ag2 Ag 0.0000 0.0000 0.3516 1
Ag3 Ag 0.0000 0.0000 0.4530 1

<c>
# Cu2Ag3 GGA-PBE relaxed
# Crystal system: trigonal
data_Cu2Ag3
_cell_length_a 2.8224
_cell_length_b 2.8224
_cell_length_c 34.0245
_cell_angle_alpha 90.00
_cell_angle_beta 90.00
_cell_angle_gamma 120.00
_symmetry_space_group_name_H-M 'R -3 m'
_symmetry_Int_Tables_number 166
_symmetry_space_group_name_Hall '-R 3 2"'
loop_
_atom_site_label
_atom_site_type_symbol
_atom_site_fract_x
_atom_site_fract_y
_atom_site_fract_z
_atom_site_occupancy
Cu1 Cu 0.0000 0.0000 0.1014 1
Ag1 Ag 0.0000 0.0000 0.2969 1
Ag2 Ag 0.0000 0.0000 0.5000 1

Which structure loses on stability? <c> does.

<a>
# Cu2Ag3 GGA-PBE relaxed
# Crystal system: monoclinic
data_Cu2Ag3
_cell_length_a 6.856
_cell_length_b 2.848
_cell_length_c 8.210
_cell_angle_alpha 90.00
_cell_angle_beta 103.01
_cell_angle_gamma 90.00
_symmetry_space_group_name_H-M 'P 1 m 1'
_symmetry_Int_Tables_number 6
_symmetry_space_group_name_Hall 'P -2y'
loop_
_atom_site_label
_atom_site_type_symbol
_atom_site_fract_x
_atom_site_fract_y
_atom_site_fract_z
_atom_site_occupancy
Cu1 Cu 0.000 0.000 0.000 1
Cu2 Cu 0.089 0.500 0.295 1
Cu3 Cu 0.190 0.000 0.565 1
Cu4 Cu 0.817 0.000 0.390 1
Ag1 Ag 0.283 0.500 0.875 1
Ag2 Ag 0.378 0.000 0.185 1
Ag3 Ag 0.498 0.500 0.486 1
Ag4 Ag 0.606 0.000 0.795 1
Ag5 Ag 0.713 0.500 0.105 1
Ag6 Ag 0.905 0.500 0.678 1

<b>
# Cu2Ag3 GGA-PBE relaxed
# Crystal system: monoclinic
data_Cu2Ag3
_cell_length_a 11.803
_cell_length_b 2.855
_cell_length_c 9.366
_cell_angle_alpha 90.00
_cell_angle_beta 99.62
_cell_angle_gamma 90.00
_symmetry_space_group_name_H-M 'C 1 m 1'
_symmetry_Int_Tables_number 8
_symmetry_space_group_name_Hall 'C -2y'
loop_
_atom_site_label
_atom_site_type_symbol
_atom_site_fract_x
_atom_site_fract_y
_atom_site_fract_z
_atom_site_occupancy
Cu1 Cu 0.000 0.000 0.000 1
Cu2 Cu 0.009 0.500 0.499 1
Cu3 Cu 0.099 0.000 0.320 1
Cu4 Cu 0.189 0.000 0.595 1
Ag1 Ag 0.099 0.500 0.799 1
Ag2 Ag 0.187 0.500 0.112 1
Ag3 Ag 0.297 0.500 0.405 1
Ag4 Ag 0.306 0.000 0.908 1
Ag5 Ag 0.395 0.500 0.691 1
Ag6 Ag 0.412 0.000 0.205 1

Which structure loses on stability? <a> does.

<a>
# HfTlAgSe3 GGA-PBE relaxed
# Crystal system: orthorhombic
data_HfTlAgSe3
_cell_length_a 7.747
_cell_length_b 4.193
_cell_length_c 17.609
_cell_angle_alpha 90.00
_cell_angle_beta 90.00
_cell_angle_gamma 90.00
_symmetry_space_group_name_H-M 'P n m a'
_symmetry_Int_Tables_number 62
_symmetry_space_group_name_Hall '-P 2ac 2n'
loop_
_atom_site_label
_atom_site_type_symbol
_atom_site_fract_x
_atom_site_fract_y
_atom_site_fract_z
_atom_site_occupancy
Hf1 Hf 0.245 0.250 0.042 1
Tl1 Tl 0.131 0.250 0.810 1
Ag1 Ag 0.030 0.250 0.327 1
Se1 Se 0.009 0.250 0.572 1
Se2 Se 0.126 0.750 0.958 1
Se3 Se 0.181 0.250 0.188 1

<b>
# HfTlAgSe3 GGA-PBE relaxed
# Crystal system: orthorhombic
data_HfTlAgSe3
_cell_length_a 10.783
_cell_length_b 3.901
_cell_length_c 14.320
_cell_angle_alpha 90.00
_cell_angle_beta 90.00
_cell_angle_gamma 90.00
_symmetry_space_group_name_H-M 'P n m a'
_symmetry_Int_Tables_number 62
_symmetry_space_group_name_Hall '-P 2ac 2n'
loop_
_atom_site_label
_atom_site_type_symbol
_atom_site_fract_x
_atom_site_fract_y
_atom_site_fract_z
_atom_site_occupancy
Hf1 Hf 0.030 0.250 0.245 1
Tl1 Tl 0.244 0.750 0.006 1
Ag1 Ag 0.249 0.250 0.814 1
Se1 Se 0.025 0.250 0.880 1
Se2 Se 0.027 0.750 0.377 1
Se3 Se 0.245 0.750 0.685 1

Which structure loses on stability? <a> does.

<a>
# Sc3AgN GGA-PBE relaxed
# Crystal system: triclinic
data_Sc3AgN
_cell_length_a 6.212
_cell_length_b 6.218
_cell_length_c 6.265
_cell_angle_alpha 119.72
_cell_angle_beta 119.53
_cell_angle_gamma 90.13
_symmetry_space_group_name_H-M 'P -1'
_symmetry_Int_Tables_number 2
_symmetry_space_group_name_Hall '-P 1'
loop_
_atom_site_label
_atom_site_type_symbol
_atom_site_fract_x
_atom_site_fract_y
_atom_site_fract_z
_atom_site_occupancy
Sc1 Sc 0.212 0.212 0.013 1
Sc2 Sc 0.255 0.768 0.500 1
Sc3 Sc 0.283 0.695 0.978 1
Ag1 Ag 0.251 0.247 0.500 1
N1 N 0.000 0.500 0.000 1
N2 N 0.500 0.000 0.000 1

<b>
# Sc3AgN GGA-PBE relaxed
# Crystal system: cubic
data_Sc3AgN
_cell_length_a 4.432
_cell_length_b 4.432
_cell_length_c 4.432
_cell_angle_alpha 90.00
_cell_angle_beta 90.00
_cell_angle_gamma 90.00
_symmetry_space_group_name_H-M 'P m -3 m'
_symmetry_Int_Tables_number 221
_symmetry_space_group_name_Hall '-P 4 2 3'
loop_
_atom_site_label
_atom_site_type_symbol
_atom_site_fract_x
_atom_site_fract_y
_atom_site_fract_z
_atom_site_occupancy
Sc1 Sc 0.000 0.000 0.500 1
Ag1 Ag 0.500 0.500 0.500 1
N1 N 0.000 0.000 0.000 1

Which structure loses on stability? <b> does.

<a>
# LiScZnSn GGA-PBE relaxed
# Crystal system: cubic
data_LiScZnSn
_cell_length_a 6.731
_cell_length_b 6.731
_cell_length_c 6.731
_cell_angle_alpha 90.00
_cell_angle_beta 90.00
_cell_angle_gamma 90.00
_symmetry_space_group_name_H-M 'F -4 3 m'
_symmetry_Int_Tables_number 216
_symmetry_space_group_name_Hall 'F -4 2 3'
loop_
_atom_site_label
_atom_site_type_symbol
_atom_site_fract_x
_atom_site_fract_y
_atom_site_fract_z
_atom_site_occupancy
Li1 Li 0.000 0.000 0.000 1
Sc1 Sc 0.250 0.250 0.750 1
Zn1 Zn 0.250 0.250 0.250 1
Sn1 Sn 0.000 0.000 0.500 1

<b>
# LiScZnSn GGA-PBE relaxed
# Crystal system: cubic
data_LiScZnSn
_cell_length_a 6.641
_cell_length_b 6.641
_cell_length_c 6.641
_cell_angle_alpha 90.00
_cell_angle_beta 90.00
_cell_angle_gamma 90.00
_symmetry_space_group_name_H-M 'F -4 3 m'
_symmetry_Int_Tables_number 216
_symmetry_space_group_name_Hall 'F -4 2 3'
loop_
_atom_site_label
_atom_site_type_symbol
_atom_site_fract_x
_atom_site_fract_y
_atom_site_fract_z
_atom_site_occupancy
Li1 Li 0.000 0.000 0.000 1
Sc1 Sc 0.250 0.250 0.750 1
Zn1 Zn 0.000 0.000 0.500 1
Sn1 Sn 0.250 0.250 0.250 1

Which structure loses on stability? <a> does.

<a>
# Cu4Ag GGA-PBE relaxed
# Crystal system: orthorhombic
data_Cu4Ag
_cell_length_a 2.679
_cell_length_b 3.593
_cell_length_c 13.527
_cell_angle_alpha 90.00
_cell_angle_beta 90.00
_cell_angle_gamma 90.00
_symmetry_space_group_name_H-M 'I m m m'
_symmetry_Int_Tables_number 71
_symmetry_space_group_name_Hall '-I 2 2'
loop_
_atom_site_label
_atom_site_type_symbol
_atom_site_fract_x
_atom_site_fract_y
_atom_site_fract_z
_atom_site_occupancy
Cu1 Cu 0.000 0.000 0.111 1
Cu2 Cu 0.000 0.000 0.297 1
Ag1 Ag 0.000 0.000 0.500 1

<b>
# Cu4Ag GGA-PBE relaxed
# Crystal system: monoclinic
data_Cu4Ag
_cell_length_a 4.565
_cell_length_b 13.330
_cell_length_c 4.534
_cell_angle_alpha 90.00
_cell_angle_beta 108.79
_cell_angle_gamma 90.00
_symmetry_space_group_name_H-M 'C 1 2/m 1'
_symmetry_Int_Tables_number 12
_symmetry_space_group_name_Hall '-C 2y'
loop_
_atom_site_label
_atom_site_type_symbol
_atom_site_fract_x
_atom_site_fract_y
_atom_site_fract_z
_atom_site_occupancy
Cu1 Cu 0.000 0.000 0.000 1
Cu2 Cu 0.000 0.093 0.500 1
Cu3 Cu 0.000 0.194 0.000 1
Cu4 Cu 0.000 0.406 0.000 1
Cu5 Cu 0.000 0.500 0.500 1
Ag1 Ag 0.000 0.304 0.500 1

Which structure loses on stability? <b> does.

<a>
# RbNdNO GGA-PBE relaxed
# Crystal system: orthorhombic
data_RbNdNO
_cell_length_a 3.851
_cell_length_b 7.726
_cell_length_c 6.711
_cell_angle_alpha 90.00
_cell_angle_beta 90.00
_cell_angle_gamma 90.00
_symmetry_space_group_name_H-M 'P m c 21'
_symmetry_Int_Tables_number 26
_symmetry_space_group_name_Hall 'P 2c -2'
loop_
_atom_site_label
_atom_site_type_symbol
_atom_site_fract_x
_atom_site_fract_y
_atom_site_fract_z
_atom_site_occupancy
Rb1 Rb 0.000 0.158 0.000 1
Nd1 Nd 0.500 0.341 0.490 1
N1 N 0.500 0.391 0.835 1
O1 O 0.000 0.199 0.423 1

<b>
# RbNdNO GGA-PBE relaxed
# Crystal system: monoclinic
data_RbNdNO
_cell_length_a 5.851
_cell_length_b 5.835
_cell_length_c 9.195
_cell_angle_alpha 90.00
_cell_angle_beta 90.21
_cell_angle_gamma 90.00
_symmetry_space_group_name_H-M 'C 1 m 1'
_symmetry_Int_Tables_number 8
_symmetry_space_group_name_Hall 'C -2y'
loop_
_atom_site_label
_atom_site_type_symbol
_atom_site_fract_x
_atom_site_fract_y
_atom_site_fract_z
_atom_site_occupancy
Rb1 Rb 0.000 0.250 0.000 1
Nd1 Nd 0.246 0.000 0.378 1
Nd2 Nd 0.249 0.500 0.622 1
N1 N 0.226 0.000 0.787 1
N2 N 0.231 0.500 0.207 1
O1 O 0.490 0.250 0.498 1

Which structure loses on stability? <b> does.

<a>
# ZrU GGA-PBE relaxed
# Crystal system: monoclinic
data_ZrU
_cell_length_a 5.819
_cell_length_b 5.090
_cell_length_c 8.037
_cell_angle_alpha 90.00
_cell_angle_beta 111.17
_cell_angle_gamma 90.00
_symmetry_space_group_name_H-M 'P 1 m 1'
_symmetry_Int_Tables_number 6
_symmetry_space_group_name_Hall 'P -2y'
loop_
_atom_site_label
_atom_site_type_symbol
_atom_site_fract_x
_atom_site_fract_y
_atom_site_fract_z
_atom_site_occupancy
Zr1 Zr 0.000 0.000 0.000 1
Zr2 Zr 0.033 0.500 0.610 1
Zr3 Zr 0.279 0.500 0.016 1
Zr4 Zr 0.609 0.000 0.218 1
Zr5 Zr 0.872 0.500 0.202 1
U1 U 0.232 0.000 0.438 1
U2 U 0.405 0.000 0.782 1
U3 U 0.446 0.500 0.436 1
U4 U 0.619 0.500 0.783 1
U5 U 0.804 0.000 0.610 1

<b>
# ZrU GGA-PBE relaxed
# Crystal system: orthorhombic
data_ZrU
_cell_length_a 2.928
_cell_length_b 5.029
_cell_length_c 11.674
_cell_angle_alpha 90.00
_cell_angle_beta 90.00
_cell_angle_gamma 90.00
_symmetry_space_group_name_H-M 'P m m n'
_symmetry_Int_Tables_number 59
loop_
_symmetry_equiv_pos_as_xyz
'x,y,z'
'-x,-y,-z'
'-x+1/2,-y+1/2,z'
'x+1/2,y+1/2,-z'
'x+1/2,-y,-z'
'-x+1/2,y,z'
'-x,y+1/2,-z'
'x,-y+1/2,z'
loop_
_atom_site_label
_atom_site_type_symbol
_atom_site_fract_x
_atom_site_fract_y
_atom_site_fract_z
_atom_site_occupancy
Zr1 Zr 0.250 0.250 0.066 1
Zr2 Zr 0.250 0.750 0.190 1
U1 U 0.250 0.250 0.569 1
U2 U 0.250 0.750 0.671 1

<c>
# ZrU GGA-PBE relaxed
# Crystal system: orthorhombic
data_ZrU
_cell_length_a 5.172
_cell_length_b 6.607
_cell_length_c 10.419
_cell_angle_alpha 90.00
_cell_angle_beta 90.00
_cell_angle_gamma 90.00
_symmetry_space_group_name_H-M 'P m m n'
_symmetry_Int_Tables_number 59
loop_
_symmetry_equiv_pos_as_xyz
'x,y,z'
'-x,-y,-z'
'-x+1/2,-y+1/2,z'
'x+1/2,y+1/2,-z'
'x+1/2,-y,-z'
'-x+1/2,y,z'
'-x,y+1/2,-z'
'x,-y+1/2,z'
loop_
_atom_site_label
_atom_site_type_symbol
_atom_site_fract_x
_atom_site_fract_y
_atom_site_fract_z
_atom_site_occupancy
Zr1 Zr 0.250 0.018 0.147 1
Zr2 Zr 0.250 0.750 0.378 1
Zr3 Zr 0.250 0.750 0.913 1
U1 U 0.250 0.250 0.442 1
U2 U 0.250 0.250 0.835 1
U3 U 0.250 0.517 0.647 1

Which structure loses on stability? <a> does.

<a>
# LaMgAlNi GGA-PBE relaxed
# Crystal system: cubic
data_LaMgAlNi
_cell_length_a 6.924
_cell_length_b 6.924
_cell_length_c 6.924
_cell_angle_alpha 90.00
_cell_angle_beta 90.00
_cell_angle_gamma 90.00
_symmetry_space_group_name_H-M 'F -4 3 m'
_symmetry_Int_Tables_number 216
_symmetry_space_group_name_Hall 'F -4 2 3'
loop_
_atom_site_label
_atom_site_type_symbol
_atom_site_fract_x
_atom_site_fract_y
_atom_site_fract_z
_atom_site_occupancy
La1 La 0.000 0.000 0.000 1
Mg1 Mg 0.000 0.000 0.500 1
Al1 Al 0.250 0.250 0.250 1
Ni1 Ni 0.250 0.250 0.750 1

<b>
# LaMgAlNi GGA-PBE relaxed
# Crystal system: monoclinic
data_LaMgAlNi
_cell_length_a 10.076
_cell_length_b 4.273
_cell_length_c 7.727
_cell_angle_alpha 90.00
_cell_angle_beta 90.30
_cell_angle_gamma 90.00
_symmetry_space_group_name_H-M 'C 1 2/m 1'
_symmetry_Int_Tables_number 12
_symmetry_space_group_name_Hall '-C 2y'
loop_
_atom_site_label
_atom_site_type_symbol
_atom_site_fract_x
_atom_site_fract_y
_atom_site_fract_z
_atom_site_occupancy
La1 La 0.055 0.000 0.263 1
Mg1 Mg 0.156 0.500 0.944 1
Al1 Al 0.163 0.500 0.557 1
Ni1 Ni 0.220 0.000 0.724 1

Which structure loses on stability? <a> does.

<a>
# SmCuPd GGA-PBE relaxed
# Crystal system: cubic
data_SmCuPd
_cell_length_a 6.612
_cell_length_b 6.612
_cell_length_c 6.612
_cell_angle_alpha 90.00
_cell_angle_beta 90.00
_cell_angle_gamma 90.00
_symmetry_space_group_name_H-M 'F -4 3 m'
_symmetry_Int_Tables_number 216
_symmetry_space_group_name_Hall 'F -4 2 3'
loop_
_atom_site_label
_atom_site_type_symbol
_atom_site_fract_x
_atom_site_fract_y
_atom_site_fract_z
_atom_site_occupancy
Sm1 Sm 0.000 0.000 0.000 1
Cu1 Cu 0.250 0.250 0.750 1
Pd1 Pd 0.250 0.250 0.250 1

<b>
# SmCuPd GGA-PBE relaxed
# Crystal system: cubic
data_SmCuPd
_cell_length_a 6.476
_cell_length_b 6.476
_cell_length_c 6.476
_cell_angle_alpha 90.00
_cell_angle_beta 90.00
_cell_angle_gamma 90.00
_symmetry_space_group_name_H-M 'F -4 3 m'
_symmetry_Int_Tables_number 216
_symmetry_space_group_name_Hall 'F -4 2 3'
loop_
_atom_site_label
_atom_site_type_symbol
_atom_site_fract_x
_atom_site_fract_y
_atom_site_fract_z
_atom_site_occupancy
Sm1 Sm 0.000 0.000 0.000 1
Cu1 Cu 0.000 0.000 0.500 1
Pd1 Pd 0.250 0.250 0.750 1

Which structure loses on stability? <a> does.

<a>
# YCdCoSn GGA-PBE relaxed
# Crystal system: cubic
data_YCdCoSn
_cell_length_a 6.853
_cell_length_b 6.853
_cell_length_c 6.853
_cell_angle_alpha 90.00
_cell_angle_beta 90.00
_cell_angle_gamma 90.00
_symmetry_space_group_name_H-M 'F -4 3 m'
_symmetry_Int_Tables_number 216
_symmetry_space_group_name_Hall 'F -4 2 3'
loop_
_atom_site_label
_atom_site_type_symbol
_atom_site_fract_x
_atom_site_fract_y
_atom_site_fract_z
_atom_site_occupancy
Y1 Y 0.000 0.000 0.000 1
Cd1 Cd 0.250 0.250 0.750 1
Co1 Co 0.000 0.000 0.500 1
Sn1 Sn 0.250 0.250 0.250 1

<b>
# YCdCoSn GGA-PBE relaxed
# Crystal system: cubic
data_YCdCoSn
_cell_length_a 6.832
_cell_length_b 6.832
_cell_length_c 6.832
_cell_angle_alpha 90.00
_cell_angle_beta 90.00
_cell_angle_gamma 90.00
_symmetry_space_group_name_H-M 'F -4 3 m'
_symmetry_Int_Tables_number 216
_symmetry_space_group_name_Hall 'F -4 2 3'
loop_
_atom_site_label
_atom_site_type_symbol
_atom_site_fract_x
_atom_site_fract_y
_atom_site_fract_z
_atom_site_occupancy
Y1 Y 0.000 0.000 0.000 1
Cd1 Cd 0.250 0.250 0.250 1
Co1 Co 0.250 0.250 0.750 1
Sn1 Sn 0.000 0.000 0.500 1

Which structure loses on stability? <a> does.